# 1
First-principles (GGA-PBE) data for crystalline CeNpBi2 at its relaxed geometry, as listed in Alexandria via LeMat-Bulk.

Output
- formation energy from the elements (eV/atom) = -0.26
- magnetization (μB/cell) = 4.06
- symmetry = P4/mmm, No. 123
- calculated total energy (eV per atom) = -6.9190

Lattice parameters (Å, degrees): 3.340 5.924 5.924 90.00 90.00 90.00
Last column: magnetic moment on the atom in μB.
Element x y z (fractional)
Np 0.500 0.000 0.000  -4.32
Bi 0.000 0.000 0.500  0.05
Bi 0.000 0.500 0.000  0.05
Ce 0.500 0.500 0.500  0.59

# 2
First-principles (GGA-PBE) data for crystalline Tm2PaGeO8 at its relaxed geometry, as listed in Alexandria via LeMat-Bulk.

Output
- magnetization (μB/cell) = 0.94
- symmetry = P2/m, No. 10
- calculated total energy (eV per atom) = -8.0804

Lattice parameters (Å, degrees): 4.943 4.942 6.678 90.00 90.00 91.48
Last column: magnetic moment on the atom in μB.
Element x y z (fractional)
Tm 0.500 0.500 0.763  -0.01
Tm 0.500 0.500 0.237  -0.01
O 0.726 0.727 0.000  0.18
O 0.305 0.304 0.500  0.04
O 0.183 0.816 0.224  0.09
O 0.695 0.696 0.500  0.04
O 0.183 0.816 0.776  0.09
O 0.817 0.184 0.224  0.09
O 0.274 0.273 0.000  0.18
O 0.817 0.184 0.776  0.09
Pa 0.000 0.000 0.500  0.00
Ge 0.000 0.000 0.000  -0.01

# 3
First-principles (GGA-PBE) data for crystalline TmMg4Hg2 at its relaxed geometry, as listed in Alexandria via LeMat-Bulk.

Output
- formation energy from the elements (eV/atom) = -0.20
- magnetization (μB/cell) = 0.00
- symmetry = P4_2/mnm, No. 136
- calculated total energy (eV per atom) = -1.8387

Lattice parameters (Å, degrees): 4.589 8.374 8.374 90.00 90.00 90.00
Element x y z (fractional)
Hg 0.000 0.802 0.198
Hg 0.500 0.698 0.698
Hg 0.500 0.302 0.302
Hg 0.000 0.198 0.802
Tm 0.000 0.500 0.500
Tm 0.500 0.000 0.000
Mg 0.000 0.102 0.348
Mg 0.000 0.652 0.898
Mg 0.000 0.348 0.102
Mg 0.500 0.848 0.398
Mg 0.500 0.602 0.152
Mg 0.000 0.898 0.652
Mg 0.500 0.152 0.602
Mg 0.500 0.398 0.848

# 4
First-principles (GGA-PBE) data for crystalline KGe at its relaxed geometry, as listed in Alexandria via LeMat-Bulk.

Output
- formation energy from the elements (eV/atom) = -0.02
- magnetization (μB/cell) = 0.00
- symmetry = Fddd, No. 70
- calculated total energy (eV per atom) = -2.8761

Lattice parameters (Å, degrees): 6.258 16.446 10.632 90.00 90.00 90.00
Element x y z (fractional)
Ge 0.500 0.429 0.000
Ge 0.250 0.179 0.750
Ge 0.750 0.821 0.750
Ge 0.000 0.071 0.000
Ge 0.750 0.321 0.250
Ge 0.000 0.571 0.500
Ge 0.000 0.929 0.000
Ge 0.500 0.571 0.000
Ge 0.250 0.321 0.750
Ge 0.250 0.679 0.250
Ge 0.750 0.179 0.250
Ge 0.750 0.679 0.750
Ge 0.250 0.821 0.250
Ge 0.500 0.929 0.500
Ge 0.000 0.429 0.500
Ge 0.500 0.071 0.500
K 0.250 0.750 0.581
K 0.000 0.000 0.331
K 0.500 0.000 0.169
K 0.000 0.000 0.669
K 0.750 0.750 0.081
K 0.250 0.250 0.081
K 0.750 0.750 0.419
K 0.750 0.250 0.919
K 0.750 0.250 0.581
K 0.500 0.500 0.331
K 0.250 0.750 0.919
K 0.500 0.000 0.831
K 0.000 0.500 0.831
K 0.500 0.500 0.669
K 0.250 0.250 0.419
K 0.000 0.500 0.169